(1)
Below is a relaxed structure of CuIrO3, with properties calculated at the GGA-PBE level.

Values from the calculation:
The total energy comes out at -5.939 eV per atom. The total moment comes out at 0.000 μB/f.u.

abc: 3.1714 5.0594 5.0594
angles: 72.77 90.00 90.00
Element x y z (fractional)
Cu 0.0000 0.0000 0.0000
Ir 0.5000 0.5775 0.5775
O 0.0000 0.7085 0.7085
O 0.5000 0.2094 0.8086
O 0.5000 0.8086 0.2094


(2)
Below is a relaxed structure of Ac7Sn3H2, with properties calculated at the GGA-PBE level.

Values from the calculation:
The total energy comes out at -4.357 eV per atom. The total moment comes out at 0.000 μB/f.u.

abc: 14.7836 14.7836 4.8830
angles: 90.00 90.00 159.29
Element x y z (fractional)
Ac 0.0000 0.0000 0.0000
Ac 0.1031 0.8969 0.5000
Ac 0.2085 0.7915 0.0000
Ac 0.4031 0.5969 0.0000
Ac 0.5969 0.4031 0.0000
Ac 0.7915 0.2085 0.0000
Ac 0.8969 0.1031 0.5000
Sn 0.3123 0.6877 0.5000
Sn 0.5000 0.5000 0.5000
Sn 0.6877 0.3123 0.5000
H 0.0868 0.9132 0.0000
H 0.9132 0.0868 0.0000


(3)
Below is a relaxed structure of EuYGaGe, with properties calculated at the GGA-PBE level.

Values from the calculation:
For the formation energy, the calculation gives -52.5 kJ per mole of atoms. The total moment comes out at 7.022 μB/f.u.

abc: 5.1552 5.1552 5.1552
angles: 60.00 60.00 60.00
Element x y z (fractional)
Eu 0.0000 0.0000 0.0000
Y 0.5000 0.5000 0.5000
Ga 0.7500 0.7500 0.7500
Ge 0.2500 0.2500 0.2500


(4)
Below is a relaxed structure of BiSN2O, with properties calculated at the GGA-PBE level.

Values from the calculation:
The total energy comes out at -3.771 eV per atom. The total moment comes out at 5.890 μB/f.u.

abc: 4.5188 4.5188 5.3084
angles: 90.00 90.00 90.00
Element x y z (fractional)
Bi 0.0000 0.0000 0.0000
S 0.0000 0.0000 0.5000
N 0.0000 0.5000 0.0000
N 0.5000 0.0000 0.0000
O 0.5000 0.5000 0.5000


(5)
Below is a relaxed structure of NdEr4Th2, with properties calculated at the GGA-PBE level.

Values from the calculation:
The energy above the most stable polymorph in this dataset is 8 meV/atom. For the formation energy, the calculation gives 12.7 kJ per mole of atoms. The total moment comes out at 0.003 μB/f.u.

abc: 21.3449 21.3449 21.3449
angles: 9.40 9.40 9.40
Element x y z (fractional)
Nd 0.0000 0.0000 0.0000
Er 0.1439 0.1439 0.1439
Er 0.2879 0.2879 0.2879
Er 0.7121 0.7121 0.7121
Er 0.8561 0.8561 0.8561
Th 0.2350 0.2350 0.2350
Th 0.7650 0.7650 0.7650


(6)
Below is a relaxed structure of La5NdSm2Mg, with properties calculated at the GGA-PBE level.

Values from the calculation:
For the formation energy, the calculation gives 7.7 kJ per mole of atoms. The total moment comes out at 0.000 μB/f.u.

abc: 10.5281 10.5281 11.0901
angles: 90.00 90.00 148.69
Element x y z (fractional)
La 0.9999 0.0001 0.0000
La 0.0001 0.9999 0.5000
La 0.1209 0.8791 0.7508
La 0.2121 0.7879 0.4522
La 0.2135 0.7865 0.0509
La 0.4893 0.5107 0.7508
La 0.5107 0.4893 0.2508
La 0.7865 0.2135 0.5509
La 0.7879 0.2121 0.9522
La 0.8791 0.1209 0.2508
Nd 0.3073 0.6927 0.7516
Nd 0.6927 0.3073 0.2516
Sm 0.3854 0.6146 0.0387
Sm 0.3846 0.6154 0.4633
Sm 0.6146 0.3854 0.5387
Sm 0.6154 0.3846 0.9633
Mg 0.0944 0.9056 0.2495
Mg 0.9056 0.0944 0.7495


(7)
Below is a relaxed structure of Na2V2Cl7, with properties calculated at the GGA-PBE level.

Values from the calculation:
The energy above the most stable polymorph in this dataset is 11 meV/atom. The total moment comes out at 2.987 μB/f.u.

abc: 7.3037 7.3037 6.5075
angles: 94.20 94.20 120.15
Element x y z (fractional)
Na 0.2128 0.7872 0.0000
Na 0.7872 0.2128 0.0000
V 0.1766 0.1766 0.5974
V 0.8234 0.8234 0.4026
Cl 0.0777 0.4140 0.7346
Cl 0.0929 0.0929 0.2424
Cl 0.4140 0.0777 0.7346
Cl 0.5000 0.5000 0.5000
Cl 0.5860 0.9223 0.2654
Cl 0.9071 0.9071 0.7576
Cl 0.9223 0.5860 0.2654


(8)
Below is a relaxed structure of P2SeClF, with properties calculated at the GGA-PBE level.

Values from the calculation:
The energy above the most stable polymorph in this dataset is 40 meV/atom. The total moment comes out at 1.509 μB/f.u.

abc: 4.8808 4.8808 4.9579
angles: 90.00 90.00 90.00
Element x y z (fractional)
P 0.0000 0.5000 0.0000
P 0.5000 0.0000 0.0000
Se 0.0000 0.0000 0.0000
Cl 0.0000 0.0000 0.5000
F 0.5000 0.5000 0.5000